Computed, not measured: crystalline AcCdIn2Pd at its relaxed geometry at the PBE-GGA level of DFT.

Results
SG = Imm2, No. 44
Final energy = -18.2 eV/cell
Calculated formation energy = -499 meV/atom

Cell lengths 4.594, 4.413, 7.160 Å; angles 107.95, 108.71, 90.00 degrees
Element x y z (fractional)
Ac 0.427 0.427 0.855
Cd 0.202 0.702 0.403
In 0.700 0.200 0.401
In 0.046 0.046 0.093
Pd 0.836 0.836 0.672